# 1
A plane-wave DFT calculation with PBE was carried out for an optimized crystal structure of CaInNO2.

```
5
Lattice="4.486 0.000 0.000 0.000 4.486 0.000 0.000 0.000 4.694" Properties=species:S:1:pos:R:3 pbc="T T T"
Ca 0.000 0.000 0.000
In 2.243 2.243 2.347
N 0.000 0.000 2.347
O 0.000 2.243 0.000
O 2.243 0.000 0.000
```

Values from the calculation:
formation energy from raw total energies = 0.076 eV per atom
space-group type = No. 123



# 2
A plane-wave DFT calculation with PBE was carried out for an optimized crystal structure of La2YHo6Tm3.

```
12
Lattice="3.083 -5.338 0.000 3.083 5.338 0.000 -2.052 0.000 11.600" Properties=species:S:1:pos:R:3 pbc="T T T"
La 3.083 3.559 0.000
La 3.083 -3.559 0.000
Y 3.083 0.000 0.000
Ho 0.002 1.775 8.628
Ho 1.038 0.000 2.973
Ho 0.002 -1.775 8.628
Ho 4.113 1.775 2.972
Ho 3.076 0.000 8.627
Ho 4.113 -1.775 2.972
Tm -1.026 0.000 5.800
Tm 2.057 1.776 5.800
Tm 2.057 -1.776 5.800
```

Values from the calculation:
energy of formation = 0.03 eV per atom
space-group type = No. 12



# 3
A plane-wave DFT calculation with PBE was carried out for an optimized crystal structure of Ho3Er4Ni4.

```
11
Lattice="-1.857 4.392 7.631 1.857 -4.392 7.631 1.857 4.392 -7.631" Properties=species:S:1:pos:R:3 pbc="T T T"
Ho 0.000 0.000 0.000
Ho 1.857 0.000 6.001
Ho 0.000 4.392 1.631
Er 1.857 1.630 -2.481
Er 1.857 1.630 2.481
Er 0.000 2.762 5.150
Er 0.000 2.762 10.113
Ni 0.000 0.000 3.733
Ni 1.857 2.911 0.000
Ni 0.000 1.481 7.631
Ni 0.000 0.000 11.530
```

Values from the calculation:
energy of formation = -0.25 eV per atom
space-group type = No. 71



# 4
A plane-wave DFT calculation with PBE was carried out for an optimized crystal structure of LiCaRh2.

```
4
Lattice="3.359 0.000 0.000 0.000 3.359 0.000 0.000 0.000 6.309" Properties=species:S:1:pos:R:3 pbc="T T T"
Li 0.000 0.000 0.000
Ca 1.680 1.680 4.234
Rh 0.000 0.000 2.483
Rh 1.680 1.680 1.229
```

Values from the calculation:
energy of formation = -0.01 eV per atom
space-group type = No. 99



# 5
A plane-wave DFT calculation with PBE was carried out for an optimized crystal structure of CrBiRu2Au.

```
5
Lattice="4.994 0.000 0.000 0.000 4.994 0.000 0.000 0.000 4.901" Properties=species:S:1:pos:R:3 pbc="T T T"
Cr 0.000 0.000 0.000
Bi 0.000 0.000 2.451
Ru 0.000 2.497 2.451
Ru 2.497 0.000 2.451
Au 2.497 2.497 0.000
```

Values from the calculation:
energy of formation = 1.88 eV per atom
space-group type = No. 123



# 6
A plane-wave DFT calculation with PBE was carried out for an optimized crystal structure of TaCrSbTe2.

```
5
Lattice="5.392 0.000 0.000 0.000 5.392 0.000 0.000 0.000 5.428" Properties=species:S:1:pos:R:3 pbc="T T T"
Ta 0.000 0.000 0.000
Cr 2.696 2.696 2.714
Sb 0.000 0.000 2.714
Te 0.000 2.696 0.000
Te 2.696 0.000 0.000
```

Values from the calculation:
formation energy from raw total energies = 0.677 eV per atom
space-group type = No. 123



# 7
A plane-wave DFT calculation with PBE was carried out for an optimized crystal structure of MgNiAg2.

```
4
Lattice="4.014 0.000 0.000 0.000 4.014 0.000 0.000 0.000 3.960" Properties=species:S:1:pos:R:3 pbc="T T T"
Mg 0.000 0.000 0.000
Ni 2.007 2.007 0.000
Ag 0.000 2.007 1.980
Ag 2.007 0.000 1.980
```

Values from the calculation:
energy of formation = -0.06 eV per atom
space-group type = No. 123



# 8
A plane-wave DFT calculation with PBE was carried out for an optimized crystal structure of Pm6Hg2NO.

```
10
Lattice="0.000 4.945 4.945 4.945 0.000 4.945 4.945 4.945 0.000" Properties=species:S:1:pos:R:3 pbc="T T T"
Pm 4.945 4.945 2.453
Pm 4.945 2.453 4.945
Pm 7.437 4.945 4.945
Pm 2.453 4.945 4.945
Pm 4.945 7.437 4.945
Pm 4.945 4.945 7.437
Hg 2.472 2.472 2.472
Hg 7.417 7.417 7.417
N 0.000 0.000 0.000
O 4.945 4.945 4.945
```

Values from the calculation:
formation energy from raw total energies = -1.093 eV per atom
space-group type = No. 225



# 9
A plane-wave DFT calculation with PBE was carried out for an optimized crystal structure of HfTh2Sn8.

```
11
Lattice="4.803 0.000 0.000 0.000 4.803 0.000 0.000 0.000 12.782" Properties=species:S:1:pos:R:3 pbc="T T T"
Hf 0.000 0.000 0.000
Th 0.000 0.000 4.031
Th 0.000 0.000 8.751
Sn 0.000 2.402 1.715
Sn 0.000 2.402 6.391
Sn 0.000 2.402 11.067
Sn 2.402 0.000 1.715
Sn 2.402 0.000 6.391
Sn 2.402 0.000 11.067
Sn 2.402 2.402 4.071
Sn 2.402 2.402 8.711
```

Values from the calculation:
energy of formation = -0.34 eV per atom
space-group type = No. 123



# 10
A plane-wave DFT calculation with PBE was carried out for an optimized crystal structure of Zr3Rh2.

```
15
Lattice="3.225 0.000 0.000 -1.612 2.793 0.000 0.000 0.000 32.483" Properties=species:S:1:pos:R:3 pbc="T T T"
Zr 0.000 0.000 0.000
Zr 0.000 0.000 6.678
Zr 0.000 0.000 25.805
Zr 0.000 1.862 14.977
Zr 0.000 1.862 21.656
Zr 0.000 1.862 28.334
Zr 1.612 0.931 4.149
Zr 1.612 0.931 10.828
Zr 1.612 0.931 17.506
Rh 0.000 0.000 12.866
Rh 0.000 0.000 19.617
Rh 0.000 1.862 2.038
Rh 0.000 1.862 8.790
Rh 1.612 0.931 23.694
Rh 1.612 0.931 30.445
```

Values from the calculation:
energy of formation = -0.36 eV per atom
space-group type = No. 166



# 11
A plane-wave DFT calculation with PBE was carried out for an optimized crystal structure of AcDy3In2.

```
6
Lattice="3.681 0.000 0.000 0.000 3.681 0.000 0.000 0.000 13.261" Properties=species:S:1:pos:R:3 pbc="T T T"
Ac 0.000 0.000 0.000
Dy 1.841 1.841 2.668
Dy 1.841 1.841 6.630
Dy 1.841 1.841 10.593
In 0.000 0.000 4.619
In 0.000 0.000 8.642
```

Values from the calculation:
energy of formation = -0.29 eV per atom
space-group type = No. 123



# 12
A plane-wave DFT calculation with PBE was carried out for an optimized crystal structure of BaTe4Se.

```
6
Lattice="0.000 4.571 4.571 4.571 0.000 4.571 4.571 4.571 0.000" Properties=species:S:1:pos:R:3 pbc="T T T"
Ba 0.000 0.000 0.000
Te 3.437 3.437 3.437
Te 5.706 5.706 3.437
Te 5.706 3.437 5.706
Te 3.437 5.706 5.706
Se 6.857 6.857 6.857
```

Values from the calculation:
formation energy from raw total energies = -0.267 eV per atom
space-group type = No. 216